1.
Computed, not measured: crystalline In3Ga2Te4 at its relaxed geometry at the PBE-GGA level of DFT.

POSCAR file:
```
In3Ga2Te4
1.0
7.690 -4.461 0.000
7.690 4.461 0.000
-0.989 0.000 8.478
In Ga Te
6 4 8
direct
0.030 0.970 0.750
0.309 0.456 0.684
0.456 0.309 0.184
0.544 0.691 0.816
0.691 0.544 0.316
0.970 0.030 0.250
0.036 0.346 0.010
0.346 0.036 0.510
0.654 0.964 0.490
0.964 0.654 0.990
0.127 0.305 0.331
0.232 0.716 0.023
0.284 0.768 0.477
0.305 0.127 0.831
0.695 0.873 0.169
0.716 0.232 0.523
0.768 0.284 0.977
0.873 0.695 0.669
```

## Properties
ρ: 5.68 Mg/m³
formation energy without anion corrections: -19.15 kJ per mole of atoms



2.
Computed, not measured: crystalline MgCr2Ag at its relaxed geometry at the PBE-GGA level of DFT.

POSCAR file:
```
MgCr2Ag
1.0
2.994 0.000 0.000
0.000 4.630 0.000
0.000 0.000 8.791
Mg Cr Ag
2 4 2
direct
0.000 0.000 0.000
0.500 0.500 0.000
0.000 0.000 0.451
0.000 0.500 0.268
0.500 0.000 0.268
0.500 0.500 0.451
0.000 0.500 0.723
0.500 0.000 0.723
```

## Properties
DFT formation energy: 312 meV per atom
ρ: 6.43 Mg/m³



3.
Computed, not measured: crystalline NaMg2Hg2 at its relaxed geometry at the PBE-GGA level of DFT.

POSCAR file:
```
NaMg2Hg2
1.0
8.321 0.000 0.000
0.000 8.321 0.000
0.000 0.000 3.424
Na Mg Hg
2 4 4
direct
0.000 0.000 0.000
0.500 0.500 0.000
0.143 0.357 0.500
0.357 0.857 0.500
0.643 0.143 0.500
0.857 0.643 0.500
0.155 0.655 0.000
0.345 0.155 0.000
0.655 0.845 0.000
0.845 0.345 0.000
```

## Properties
energy above the lowest structure with this stoichiometry: 0 meV/atom
DFT formation energy: -202 meV per atom
ρ: 6.62 Mg/m³



4.
Computed, not measured: crystalline LiBi2P3O11 at its relaxed geometry at the PBE-GGA level of DFT.

POSCAR file:
```
LiBi2P3O11
1.0
6.641 -4.634 0.000
6.641 4.634 0.000
-5.409 0.000 8.241
Li Bi P O
2 4 6 22
direct
0.246 0.246 0.214
0.754 0.754 0.786
0.197 0.055 0.811
0.397 0.359 0.684
0.641 0.603 0.316
0.945 0.803 0.189
0.236 0.764 0.000
0.347 0.653 0.500
0.630 0.153 0.002
0.751 0.044 0.521
0.847 0.370 0.998
0.956 0.249 0.479
0.033 0.761 0.982
0.053 0.332 0.018
0.132 0.219 0.625
0.227 0.718 0.353
0.239 0.967 0.018
0.272 0.618 0.846
0.282 0.773 0.647
0.331 0.444 0.449
0.382 0.728 0.154
0.469 0.185 0.848
0.552 0.089 0.518
0.556 0.669 0.551
0.588 0.294 0.155
0.668 0.947 0.982
0.706 0.412 0.845
0.781 0.868 0.375
0.782 0.218 0.500
0.815 0.185 0.000
0.815 0.531 0.152
0.898 0.021 0.681
0.911 0.448 0.482
0.979 0.102 0.319
```

## Properties
ρ: 4.54 Mg/m³
formation energy without anion corrections: -190.81 kJ per mole of atoms



5.
Computed, not measured: crystalline Sb6IrPd at its relaxed geometry at the PBE-GGA level of DFT.

POSCAR file:
```
Sb6IrPd
1.0
6.675 -4.730 0.000
6.675 4.730 0.000
-6.664 0.000 6.749
Sb Ir Pd
12 2 2
direct
0.152 0.843 0.655
0.157 0.848 0.345
0.188 0.504 0.842
0.338 0.338 0.490
0.348 0.348 0.192
0.496 0.812 0.158
0.504 0.188 0.842
0.652 0.652 0.808
0.662 0.662 0.510
0.812 0.496 0.158
0.843 0.152 0.655
0.848 0.157 0.345
0.000 0.500 0.500
0.500 0.000 0.500
0.000 0.500 0.000
0.500 0.000 0.000
```

## Properties
ρ: 8.02 Mg/m³
formation energy without anion corrections: -26.61 kJ per mole of atoms



6.
Computed, not measured: crystalline Na2AgSnBr5 at its relaxed geometry at the PBE-GGA level of DFT.

POSCAR file:
```
Na2AgSnBr5
1.0
2.154 -9.452 0.000
2.154 9.452 0.000
0.000 0.000 14.845
Na Ag Sn Br
4 2 2 10
direct
0.059 0.941 0.500
0.132 0.868 0.079
0.868 0.132 0.579
0.941 0.059 0.000
0.486 0.514 0.283
0.514 0.486 0.783
0.239 0.761 0.852
0.761 0.239 0.352
0.070 0.930 0.870
0.247 0.753 0.218
0.272 0.728 0.499
0.388 0.612 0.887
0.481 0.519 0.608
0.519 0.481 0.108
0.612 0.388 0.387
0.728 0.272 0.999
0.753 0.247 0.718
0.930 0.070 0.370
```

## Properties
ρ: 3.69 Mg/m³
formation energy without anion corrections: -96.04 kJ per mole of atoms



7.
Computed, not measured: crystalline Nd2InAg6 at its relaxed geometry at the PBE-GGA level of DFT.

POSCAR file:
```
Nd2InAg6
1.0
6.254 0.000 0.000
-3.127 5.416 0.000
0.000 0.000 6.008
Nd In Ag
2 1 6
direct
0.333 0.667 0.157
0.667 0.333 0.843
0.000 0.000 0.000
0.183 0.366 0.667
0.183 0.817 0.667
0.366 0.183 0.333
0.634 0.817 0.667
0.817 0.183 0.333
0.817 0.634 0.333
```

## Properties
DFT formation energy: -205 meV per atom
ρ: 8.57 Mg/m³



8.
Computed, not measured: crystalline NaTl4Hg8 at its relaxed geometry at the PBE-GGA level of DFT.

POSCAR file:
```
NaTl4Hg8
1.0
0.000 6.041 6.041
6.041 0.000 6.041
6.041 6.041 0.000
Na Tl Hg
1 4 8
direct
0.000 0.000 0.000
0.191 0.603 0.603
0.603 0.191 0.603
0.603 0.603 0.191
0.603 0.603 0.603
0.343 0.343 0.343
0.343 0.343 0.971
0.343 0.971 0.343
0.422 0.859 0.859
0.859 0.422 0.859
0.859 0.859 0.422
0.859 0.859 0.859
0.971 0.343 0.343
```

## Properties
DFT formation energy: 51 meV per atom
ρ: 9.21 Mg/m³



9.
Computed, not measured: crystalline TbNdYHo3 at its relaxed geometry at the PBE-GGA level of DFT.

POSCAR file:
```
TbNdYHo3
1.0
2.884 -5.836 0.000
2.884 5.836 0.000
0.000 0.000 11.498
Tb Nd Y Ho
2 2 2 6
direct
0.000 0.000 0.000
0.000 0.000 0.500
0.475 0.525 0.750
0.525 0.475 0.250
0.172 0.828 0.750
0.828 0.172 0.250
0.145 0.855 0.250
0.326 0.674 0.025
0.326 0.674 0.475
0.674 0.326 0.525
0.674 0.326 0.975
0.855 0.145 0.750
```

## Properties
DFT formation energy: 122 meV per atom
ρ: 7.61 Mg/m³



10.
Computed, not measured: crystalline TeSe3Br at its relaxed geometry at the PBE-GGA level of DFT.

POSCAR file:
```
TeSe3Br
1.0
5.182 0.000 0.000
0.000 5.182 0.000
0.000 0.000 5.182
Te Se Br
1 3 1
direct
0.000 0.000 0.000
0.000 0.500 0.500
0.500 0.000 0.500
0.500 0.500 0.000
0.500 0.500 0.500
```

## Properties
energy above the lowest structure with this stoichiometry: 274 meV/atom
ρ: 5.30 Mg/m³
formation energy without anion corrections: 87.99 kJ per mole of atoms



11.
Computed, not measured: crystalline Ag2SbPb at its relaxed geometry at the PBE-GGA level of DFT.

POSCAR file:
```
Ag2SbPb
1.0
3.374 0.000 0.000
-1.687 2.922 0.000
0.000 0.000 29.183
Ag Sb Pb
6 3 3
direct
0.000 0.000 0.000
0.000 0.000 0.262
0.333 0.667 0.667
0.333 0.667 0.928
0.667 0.333 0.333
0.667 0.333 0.595
0.000 0.000 0.518
0.333 0.667 0.185
0.667 0.333 0.852
0.000 0.000 0.752
0.333 0.667 0.419
0.667 0.333 0.085
```

## Properties
ρ: 9.43 Mg/m³
formation energy without anion corrections: 13.94 kJ per mole of atoms



12.
Computed, not measured: crystalline PmPrBiSb at its relaxed geometry at the PBE-GGA level of DFT.

POSCAR file:
```
PmPrBiSb
1.0
4.567 0.000 0.000
0.000 4.567 0.000
0.000 0.000 6.455
Pm Pr Bi Sb
1 1 1 1
direct
0.000 0.000 0.000
0.500 0.500 0.500
0.500 0.500 0.000
0.000 0.000 0.500
```

## Properties
energy above the lowest structure with this stoichiometry: 0 meV/atom
ρ: 7.60 Mg/m³
formation energy without anion corrections: -102.95 kJ per mole of atoms



Q: Which value of ρ does entry 11 give?
A: 9.43 Mg/m³



Q: What is the formula in the seventh record?
A: Nd2InAg6